Material: Nd7Zn2Ni2
Method: DFT, PBE
State: relaxed

a = 6.868 Å, b = 6.868 Å, c = 7.134 Å
α = 90.00°, β = 90.00°, γ = 111.06°
Positions (direct):
Nd  0.000  0.000  0.000
Nd  0.000  0.500  0.258
Nd  0.000  0.500  0.742
Nd  0.500  0.000  0.258
Nd  0.500  0.000  0.742
Nd  0.500  0.500  0.250
Nd  0.500  0.500  0.750
Zn  0.163  0.163  0.500
Zn  0.837  0.837  0.500
Ni  0.300  0.700  0.000
Ni  0.700  0.300  0.000

Properties
V (A^3/atom): 28.6
SG: Cmmm
Size of the total moment (μB/cell): 0.00
DOS(E_F) (states/eV per atom): 1.103
Energy (eV for the cell shown): -48.5
ΔH_f (0 K) (eV per atom): -0.093

Material: Tb5AgTe8
Method: DFT, PBE
State: relaxed

a = 8.104 Å, b = 8.104 Å, c = 8.104 Å
α = 110.05°, β = 110.05°, γ = 108.33°
Positions (direct):
Tb  0.000  0.000  0.000
Tb  0.257  0.138  0.627
Tb  0.370  0.743  0.881
Tb  0.511  0.630  0.373
Tb  0.862  0.489  0.119
Ag  0.750  0.250  0.500
Te  0.111  0.365  0.883
Te  0.143  0.386  0.392
Te  0.248  0.857  0.242
Te  0.482  0.229  0.117
Te  0.614  0.006  0.758
Te  0.635  0.518  0.747
Te  0.771  0.889  0.253
Te  0.994  0.752  0.608

Properties
V (A^3/atom): 29.3
SG: I-4
Size of the total moment (μB/cell): 0.00
Formation energy (no corrections) (eV/atom): -1.203
Energy (eV for the cell shown): -68.0

Material: Be2InPt
Method: DFT, PBE
State: relaxed

a = 7.300 Å, b = 3.819 Å, c = 4.547 Å
α = 90.00°, β = 105.97°, γ = 90.00°
Positions (direct):
Be  0.195  0.000  0.070
Be  0.305  0.500  0.930
Be  0.695  0.500  0.070
Be  0.805  0.000  0.930
In  0.000  0.000  0.500
In  0.500  0.500  0.500
Pt  0.000  0.500  0.000
Pt  0.500  0.000  0.000

Properties
V (A^3/atom): 15.2
SG: C2/m
Size of the total moment (μB/cell): 0.00
DOS(E_F) (states/eV per atom): 0.318
Energy (eV for the cell shown): -34.0
ΔH_f (0 K) (eV per atom): -0.192

Material: MgZn2SiO
Method: DFT, PBE
State: relaxed

a = 5.067 Å, b = 5.067 Å, c = 3.435 Å
α = 90.00°, β = 90.00°, γ = 90.00°
Positions (direct):
Mg  0.000  0.000  0.000
Zn  0.000  0.500  0.500
Zn  0.500  0.000  0.500
Si  0.500  0.500  0.500
O  0.500  0.500  0.000

Properties
V (A^3/atom): 17.6
SG: P4/mmm
Size of the total moment (μB/cell): 0.00
Formation energy (no corrections) (eV/atom): -0.243
DOS(E_F) (states/eV per atom): 0.259
Energy (eV for the cell shown): -15.7